This record from Alexandria via LeMat-Bulk describes crystalline V2RhO at its relaxed geometry. The functional is GGA+U.

The structure belongs to space group R-3m (No. 166, hexagonal axes); the cell edges are 2.9141, 2.9141 and 21.1227 Å and the angles 90.00°, 90.00° and 120.00°. The inequivalent atoms are V at (0.0000, 0.0000, 0.2321), Rh at (0.0000, 0.0000, 0.0000) and O at (0.0000, 0.0000, 0.5000).

As for the crystal system: trigonal.

=====

This record from Alexandria via LeMat-Bulk describes crystalline V3RhO at its relaxed geometry. The functional is GGA+U.

The structure belongs to space group Pm-3m (No. 221); the cell edges are 4.8054, 4.8054 and 4.8054 Å and the angles 90.00°, 90.00° and 90.00°. The inequivalent atoms are V at (0.0000, 0.0000, 0.5000), Rh at (0.0000, 0.0000, 0.0000) and O at (0.5000, 0.5000, 0.5000).

As for the crystal system: cubic.

=====

This record from Alexandria via LeMat-Bulk describes crystalline VRh3O at its relaxed geometry. The functional is GGA+U.

The structure belongs to space group Pm-3m (No. 221); the cell edges are 4.1304, 4.1304 and 4.1304 Å and the angles 90.00°, 90.00° and 90.00°. The inequivalent atoms are V at (0.0000, 0.0000, 0.0000), Rh at (0.0000, 0.5000, 0.5000) and O at (0.5000, 0.5000, 0.5000).

As for the crystal system: cubic.

=====

This record from Alexandria via LeMat-Bulk describes crystalline VZnRhO2 at its relaxed geometry. The functional is GGA+U.

The structure belongs to space group P4/mmm (No. 123); the cell edges are 3.7509, 3.7509 and 4.8023 Å and the angles 90.00°, 90.00° and 90.00°. The inequivalent atoms are V at (0.0000, 0.0000, 0.0000), Zn at (0.5000, 0.5000, 0.5000), Rh at (0.5000, 0.5000, 0.0000) and O at (0.0000, 0.5000, 0.5000).

As for the crystal system: tetragonal.

=====

This record from Alexandria via LeMat-Bulk describes crystalline Rh4WO2 at its relaxed geometry. The functional is GGA+U.

The structure belongs to space group I4/mmm (No. 139); the cell edges are 4.7526, 4.7526 and 10.8480 Å and the angles 90.00°, 90.00° and 90.00°. The inequivalent atoms are Rh at (0.0000, 0.0000, 0.2232), Rh at (0.0000, 0.5000, 0.0000), W at (0.0000, 0.0000, 0.0000) and O at (0.0000, 0.0000, 0.3977).

As for the crystal system: tetragonal.

=====

This record from Alexandria via LeMat-Bulk describes crystalline RhW3O at its relaxed geometry. The functional is GGA+U.

The structure belongs to space group Pm-3m (No. 221); the cell edges are 4.1719, 4.1719 and 4.1719 Å and the angles 90.00°, 90.00° and 90.00°. The inequivalent atoms are Rh at (0.0000, 0.0000, 0.0000), W at (0.0000, 0.5000, 0.5000) and O at (0.5000, 0.5000, 0.5000).

As for the crystal system: cubic.

=====

This record from Alexandria via LeMat-Bulk describes crystalline Rh2WO at its relaxed geometry. The functional is GGA+U.

The structure belongs to space group I-42d (No. 122); the cell edges are 5.5535, 5.5535 and 8.7546 Å and the angles 90.00°, 90.00° and 90.00°. The inequivalent atoms are Rh at (0.1992, 0.2500, 0.1250), W at (0.0000, 0.0000, 0.5000) and O at (0.0000, 0.0000, 0.0000).

As for the crystal system: tetragonal.

=====

This record from Alexandria via LeMat-Bulk describes crystalline RhW3O at its relaxed geometry. The functional is GGA+U.

The structure belongs to space group Pm-3m (No. 221); the cell edges are 5.0783, 5.0783 and 5.0783 Å and the angles 90.00°, 90.00° and 90.00°. The inequivalent atoms are Rh at (0.0000, 0.0000, 0.0000), W at (0.0000, 0.0000, 0.5000) and O at (0.5000, 0.5000, 0.5000).

As for the crystal system: cubic.

=====

Number 1: calculated density 7.1 Mg/m³, raw total energy -86.28 eV for the cell shown. Number 2: calculated density 4.1 Mg/m³, raw total energy -26.44 eV for the cell shown. Number 3: calculated density 8.9 Mg/m³, raw total energy -33.21 eV for the cell shown. Number 4: calculated density 6.2 Mg/m³, raw total energy -22.94 eV for the cell shown. Number 5: calculated density 8.5 Mg/m³, raw total energy -76.81 eV for the cell shown. Number 6: calculated density 15.3 Mg/m³, raw total energy -31.16 eV for the cell shown. Number 7: calculated density 10.0 Mg/m³, raw total energy -99.43 eV for the cell shown. Number 8: calculated density 8.5 Mg/m³, raw total energy -23.62 eV for the cell shown.